(1)
First-principles (PBE-GGA) data for an optimized crystal structure of InReI2O, as listed in Alexandria.

Cell lengths 5.767, 5.767, 3.816 Å; angles 90.00, 90.00, 90.00 degrees
Space group P4/mmm (No. 123)
Symmetry-distinct sites (fractional):
In  0.000  0.000  0.000 [1 per cell]
Re  0.500  0.500  0.500 [1 per cell]
I  0.000  0.500  0.500 [2 per cell]
O  0.500  0.500  0.000 [1 per cell]

DOS(E_F), states/eV per cell: 2.92



(2)
First-principles (PBE-GGA) data for an optimized crystal structure of InReI2O, as listed in Alexandria.

Cell lengths 6.086, 6.086, 3.966 Å; angles 90.00, 90.00, 90.00 degrees
Space group P4/mmm (No. 123)
Symmetry-distinct sites (fractional):
In  0.000  0.000  0.000 [1 per cell]
Re  0.500  0.500  0.500 [1 per cell]
I  0.000  0.500  0.000 [2 per cell]
O  0.000  0.000  0.500 [1 per cell]

DOS(E_F), states/eV per cell: 2.19



Preferred: (1); penalty for the next structure: 97.2 kJ/mol of atoms.



(1)
First-principles (PBE-GGA) data for an optimized crystal structure of InRuI2O, as listed in Alexandria.

Cell lengths 5.772, 5.772, 3.786 Å; angles 90.00, 90.00, 90.00 degrees
Space group P4/mmm (No. 123)
Symmetry-distinct sites (fractional):
In  0.000  0.000  0.000 [1 per cell]
Ru  0.500  0.500  0.500 [1 per cell]
I  0.000  0.500  0.500 [2 per cell]
O  0.500  0.500  0.000 [1 per cell]

DOS(E_F), states/eV per cell: 3.34



(2)
First-principles (PBE-GGA) data for an optimized crystal structure of InRuI2O, as listed in Alexandria.

Cell lengths 5.925, 5.925, 3.925 Å; angles 90.00, 90.00, 90.00 degrees
Space group P4/mmm (No. 123)
Symmetry-distinct sites (fractional):
In  0.000  0.000  0.000 [1 per cell]
Ru  0.500  0.500  0.500 [1 per cell]
I  0.000  0.500  0.000 [2 per cell]
O  0.000  0.000  0.500 [1 per cell]

DOS(E_F), states/eV per cell: 1.48



Preferred: (1); penalty for the next structure: 68.9 kJ/mol of atoms.



(1)
First-principles (PBE-GGA) data for an optimized crystal structure of InSeIO2, as listed in Alexandria.

Cell lengths 4.155, 4.155, 5.796 Å; angles 90.00, 90.00, 90.00 degrees
Space group P4/mmm (No. 123)
Symmetry-distinct sites (fractional):
In  0.000  0.000  0.000 [1 per cell]
Se  0.500  0.500  0.500 [1 per cell]
I  0.500  0.500  0.000 [1 per cell]
O  0.000  0.500  0.500 [2 per cell]

DOS(E_F), states/eV per cell: 2.68



(2)
First-principles (PBE-GGA) data for an optimized crystal structure of InSeIO2, as listed in Alexandria.

Cell lengths 4.122, 4.122, 6.822 Å; angles 90.00, 90.00, 90.00 degrees
Space group P4/mmm (No. 123)
Symmetry-distinct sites (fractional):
In  0.000  0.000  0.000 [1 per cell]
Se  0.500  0.500  0.500 [1 per cell]
I  0.000  0.000  0.500 [1 per cell]
O  0.000  0.500  0.000 [2 per cell]

DOS(E_F), states/eV per cell: 6.89



Preferred: (2); penalty for the next structure: 13.2 kJ/mol of atoms.



(1)
First-principles (PBE-GGA) data for an optimized crystal structure of InSnI2O, as listed in Alexandria.

Cell lengths 6.302, 6.302, 4.098 Å; angles 90.00, 90.00, 90.00 degrees
Space group P4/mmm (No. 123)
Symmetry-distinct sites (fractional):
In  0.000  0.000  0.000 [1 per cell]
Sn  0.500  0.500  0.500 [1 per cell]
I  0.000  0.500  0.500 [2 per cell]
O  0.500  0.500  0.000 [1 per cell]

DOS(E_F), states/eV per cell: 1.04



(2)
First-principles (PBE-GGA) data for an optimized crystal structure of InSnI2O, as listed in Alexandria.

Cell lengths 6.230, 6.230, 4.049 Å; angles 90.00, 90.00, 90.00 degrees
Space group P4/mmm (No. 123)
Symmetry-distinct sites (fractional):
In  0.000  0.000  0.000 [1 per cell]
Sn  0.500  0.500  0.500 [1 per cell]
I  0.000  0.500  0.000 [2 per cell]
O  0.000  0.000  0.500 [1 per cell]

DOS(E_F), states/eV per cell: 2.98



Preferred: (1); penalty for the next structure: 19.5 kJ/mol of atoms.



(1)
First-principles (PBE-GGA) data for an optimized crystal structure of InTcI2O, as listed in Alexandria.

Cell lengths 6.001, 6.001, 3.935 Å; angles 90.00, 90.00, 90.00 degrees
Space group P4/mmm (No. 123)
Symmetry-distinct sites (fractional):
In  0.000  0.000  0.000 [1 per cell]
Tc  0.500  0.500  0.500 [1 per cell]
I  0.000  0.500  0.000 [2 per cell]
O  0.000  0.000  0.500 [1 per cell]

DOS(E_F), states/eV per cell: 1.64



(2)
First-principles (PBE-GGA) data for an optimized crystal structure of InTcI2O, as listed in Alexandria.

Cell lengths 5.776, 5.776, 3.802 Å; angles 90.00, 90.00, 90.00 degrees
Space group P4/mmm (No. 123)
Symmetry-distinct sites (fractional):
In  0.000  0.000  0.000 [1 per cell]
Tc  0.500  0.500  0.500 [1 per cell]
I  0.000  0.500  0.500 [2 per cell]
O  0.500  0.500  0.000 [1 per cell]

DOS(E_F), states/eV per cell: 2.69



Preferred: (2); penalty for the next structure: 74.6 kJ/mol of atoms.



(1)
First-principles (PBE-GGA) data for an optimized crystal structure of InTeI2O, as listed in Alexandria.

Cell lengths 5.771, 5.771, 5.814 Å; angles 90.00, 90.00, 90.00 degrees
Space group P4/mmm (No. 123)
Symmetry-distinct sites (fractional):
In  0.000  0.000  0.000 [1 per cell]
Te  0.000  0.000  0.500 [1 per cell]
I  0.000  0.500  0.000 [2 per cell]
O  0.500  0.500  0.500 [1 per cell]

DOS(E_F), states/eV per cell: 19.21



(2)
First-principles (PBE-GGA) data for an optimized crystal structure of InTeI2O, as listed in Alexandria.

Cell lengths 6.278, 6.278, 3.970 Å; angles 90.00, 90.00, 90.00 degrees
Space group P4/mmm (No. 123)
Symmetry-distinct sites (fractional):
In  0.000  0.000  0.000 [1 per cell]
Te  0.500  0.500  0.500 [1 per cell]
I  0.000  0.500  0.000 [2 per cell]
O  0.000  0.000  0.500 [1 per cell]

DOS(E_F), states/eV per cell: 3.16



Preferred: (2); penalty for the next structure: 90.7 kJ/mol of atoms.